KHg4Au4 PBE optimized geometry; SG = No. 86; DOS(E_F) = 5.364 states/eV per cell; electronic total energy = -1.77 eV/atom
1.0
5.6623 0.0000 0.0000
0.0000 9.4298 0.0000
0.0000 0.0000 9.4298
Au Hg K
8 8 2
Direct
0.5883 0.8284 0.3251
0.0883 0.1749 0.3284
0.4117 0.3251 0.1716
0.9117 0.6716 0.1749
0.4117 0.6749 0.8284
0.9117 0.3284 0.8251
0.0883 0.8251 0.6716
0.5883 0.1716 0.6749
0.0982 0.1294 0.6274
0.9018 0.3726 0.1294
0.4018 0.3706 0.8726
0.5982 0.8726 0.6294
0.0982 0.8706 0.3726
0.9018 0.6274 0.8706
0.4018 0.6294 0.1274
0.5982 0.1274 0.3706
0.0000 0.0000 0.0000
0.5000 0.5000 0.5000

***

K3Hg9Au2 PBE optimized geometry; SG = No. 71; DOS(E_F) = 3.206 states/eV per cell; electronic total energy = -1.10 eV/atom
1.0
-0.9369 1.8334 4.4377
-8.9787 -2.7337 1.9303
0.9308 -7.4397 5.9667
Hg Au K
9 2 3
Direct
0.3263 0.3064 0.0410
0.8781 0.4027 0.8411
0.1219 0.1589 0.5973
0.1219 0.5973 0.1589
0.6737 0.9590 0.6936
0.0000 0.5000 0.5000
0.3263 0.0410 0.3064
0.6737 0.6936 0.9590
0.8781 0.8411 0.4027
0.5000 0.7285 0.2715
0.5000 0.2715 0.7285
0.3218 0.6782 0.6782
0.0000 0.0000 0.0000
0.6782 0.3218 0.3218

***

K2Hg4Au5 PBE optimized geometry; SG = No. 69; DOS(E_F) = 3.834 states/eV per cell; electronic total energy = -1.95 eV/atom
1.0
5.9219 -0.2833 -0.8688
-3.1486 5.0235 -0.8688
0.0405 0.0692 9.8005
Au Hg K
5 4 2
Direct
0.5000 0.5000 0.0000
0.7500 0.2500 0.5000
0.5000 0.0000 0.0000
0.2500 0.7500 0.5000
0.0000 0.5000 0.0000
0.4728 0.7842 0.2571
0.2158 0.5272 0.7429
0.7842 0.4728 0.2571
0.5272 0.2158 0.7429
0.1353 0.1353 0.2705
0.8647 0.8647 0.7295

***

KHg4Au2 PBE optimized geometry; SG = No. 62; DOS(E_F) = 7.046 states/eV per cell; energy above the most stable polymorph in this dataset = 0.00 kcal/mol of atoms; electronic total energy = -1.42 eV/atom
1.0
4.9499 0.0000 0.0000
0.0000 7.6629 0.0000
0.0000 0.0000 19.2044
Hg Au K
16 8 4
Direct
0.2500 0.0263 0.9342
0.7500 0.1745 0.8172
0.2500 0.4737 0.4342
0.2500 0.1466 0.5375
0.2500 0.2320 0.1856
0.7500 0.5263 0.5658
0.2500 0.8255 0.1828
0.2500 0.2680 0.6856
0.7500 0.9737 0.0658
0.7500 0.7320 0.3144
0.7500 0.6466 0.9625
0.7500 0.7680 0.8144
0.2500 0.3534 0.0375
0.7500 0.3255 0.3172
0.7500 0.8534 0.4625
0.2500 0.6745 0.6828
0.2500 0.9666 0.7830
0.2500 0.7443 0.0353
0.2500 0.5334 0.2830
0.7500 0.4666 0.7170
0.7500 0.2557 0.9647
0.2500 0.7557 0.5353
0.7500 0.0334 0.2170
0.7500 0.2443 0.4647
0.7500 0.9735 0.6430
0.2500 0.0265 0.3570
0.7500 0.5265 0.1430
0.2500 0.4735 0.8570

***

K4HgAu2 PBE optimized geometry; SG = No. 8; DOS(E_F) = 8.211 states/eV per cell; energy above the most stable polymorph in this dataset = 0.34 kcal/mol of atoms; electronic total energy = -1.85 eV/atom
1.0
7.8306 -0.0436 -2.3245
1.7713 7.6269 -2.3277
0.0645 0.0547 9.3680
K Au Hg
8 4 2
Direct
0.6414 0.1648 0.4805
0.6108 0.6108 0.3442
0.1555 0.6287 0.9704
0.1238 0.1236 0.8375
0.1647 0.6413 0.4803
0.6066 0.6068 0.8192
0.1281 0.1280 0.3422
0.6289 0.1557 0.9702
0.3230 0.3230 0.6852
0.9396 0.4397 0.6248
0.3342 0.3339 0.1935
0.4398 0.9397 0.6247
0.8257 0.8261 0.1913
0.8280 0.8279 0.6860

***

K3Hg2Au PBE optimized geometry; SG = No. 62; DOS(E_F) = 10.325 states/eV per cell; electronic total energy = -1.47 eV/atom
1.0
4.8982 0.0000 0.0000
0.0000 13.5511 0.0000
0.0000 0.0000 13.7885
K Au Hg
12 4 8
Direct
0.2500 0.3738 0.0524
0.2500 0.7075 0.2171
0.7500 0.8738 0.4476
0.2500 0.4436 0.3848
0.7500 0.5564 0.6152
0.7500 0.2925 0.7829
0.7500 0.2075 0.2829
0.7500 0.6262 0.9476
0.2500 0.0564 0.8848
0.2500 0.1262 0.5524
0.7500 0.9436 0.1152
0.2500 0.7925 0.7171
0.7500 0.8746 0.8713
0.7500 0.6254 0.3713
0.2500 0.1254 0.1287
0.2500 0.3746 0.6287
0.7500 0.5082 0.1938
0.7500 0.1880 0.0247
0.2500 0.6880 0.4753
0.2500 0.8120 0.9753
0.7500 0.3120 0.5247
0.2500 0.4918 0.8062
0.2500 0.0082 0.3062
0.7500 0.9918 0.6938

***

K12Hg7Au PBE optimized geometry; SG = No. 148; DOS(E_F) = 11.553 states/eV per cell; electronic total energy = -1.11 eV/atom
1.0
-5.5099 -8.6075 2.4215
7.5951 -2.5290 -6.8928
6.4396 -7.1833 4.3039
K Au Hg
12 1 7
Direct
0.6803 0.8935 0.2931
0.3170 0.5268 0.2893
0.2132 0.1867 0.1065
0.0265 0.7069 0.1867
0.2097 0.8161 0.4732
0.7868 0.8133 0.8935
0.6830 0.4732 0.7107
0.3197 0.1065 0.7069
0.7903 0.1839 0.5268
0.9735 0.2931 0.8133
0.3936 0.7107 0.8161
0.6064 0.2893 0.1839
0.0000 0.0000 0.0000
0.6219 0.4960 0.3802
0.1259 0.1239 0.4960
0.5000 0.0000 0.0000
0.3781 0.5040 0.6198
0.0020 0.3802 0.1239
0.8741 0.8761 0.5040
0.9980 0.6198 0.8761

***

K3Hg7Au PBE optimized geometry; SG = No. 63; DOS(E_F) = 8.151 states/eV per cell; electronic total energy = -0.98 eV/atom
1.0
4.2914 0.0000 0.0000
-2.1457 13.5813 0.0000
0.0000 0.0000 12.4529
Hg Au K
14 2 6
Direct
0.3743 0.7487 0.3711
0.6257 0.2513 0.8711
0.4898 0.9795 0.1253
0.3418 0.6837 0.7500
0.2903 0.5806 0.9741
0.7097 0.4194 0.0259
0.5102 0.0205 0.6253
0.7097 0.4194 0.4741
0.2903 0.5806 0.5259
0.5102 0.0205 0.8747
0.3743 0.7487 0.1289
0.4898 0.9795 0.3747
0.6582 0.3163 0.2500
0.6257 0.2513 0.6289
0.9302 0.8603 0.2500
0.0698 0.1397 0.7500
0.0881 0.1762 0.0707
0.0881 0.1762 0.4293
0.7880 0.5760 0.2500
0.9119 0.8238 0.9293
0.2120 0.4240 0.7500
0.9119 0.8238 0.5707

***

K2Hg5Au4 PBE optimized geometry; SG = No. 12; DOS(E_F) = 3.732 states/eV per cell; energy above the most stable polymorph in this dataset = 0.49 kcal/mol of atoms; electronic total energy = -1.66 eV/atom
1.0
6.2913 0.0000 0.0000
3.1456 7.3574 -0.3035
3.1456 1.5427 6.9582
Hg K Au
5 2 4
Direct
0.2024 0.2567 0.8384
0.0000 0.5000 0.5000
0.7025 0.2567 0.8384
0.7976 0.7433 0.1616
0.2975 0.7433 0.1616
0.2729 0.7896 0.6647
0.7271 0.2104 0.3353
0.6278 0.9468 0.7976
0.7753 0.5727 0.8766
0.3722 0.0532 0.2024
0.2247 0.4273 0.1234

***

KHgAu3 PBE optimized geometry; SG = No. 221; DOS(E_F) = 1.076 states/eV per cell; energy above the most stable polymorph in this dataset = 5.94 kcal/mol of atoms; electronic total energy = -2.15 eV/atom
1.0
5.3506 0.0000 0.0000
0.0000 5.3506 0.0000
0.0000 0.0000 5.3506
Au Hg K
3 1 1
Direct
0.5000 0.0000 0.0000
0.0000 0.5000 0.0000
0.0000 0.0000 0.5000
0.0000 0.0000 0.0000
0.5000 0.5000 0.5000

***

KHgAu3 PBE optimized geometry; SG = No. 74; DOS(E_F) = 2.298 states/eV per cell; energy above the most stable polymorph in this dataset = 0.00 kcal/mol of atoms; electronic total energy = -2.41 eV/atom
1.0
5.1693 0.0000 2.1578
2.0194 6.8332 2.4330
-0.0557 -1.3657 7.4042
K Au Hg
2 6 2
Direct
0.7500 0.3080 0.1920
0.2500 0.6920 0.8080
0.2758 0.2242 0.7242
0.7500 0.8969 0.6031
0.7758 0.2242 0.7242
0.2242 0.7758 0.2758
0.2500 0.1031 0.3969
0.7242 0.7758 0.2758
0.5000 0.0000 0.0000
0.0000 0.5000 0.5000

***

K7Hg2Au PBE optimized geometry; SG = No. 15; DOS(E_F) = 7.200 states/eV per cell; electronic total energy = -1.31 eV/atom
1.0
-6.3160 0.3166 7.0416
-8.5402 -6.6064 -1.0027
0.0929 -9.0171 6.8493
K Hg Au
14 4 2
Direct
0.1226 0.2919 0.9824
0.0826 0.9668 0.6409
0.2578 0.9114 0.9159
0.7422 0.0886 0.0841
0.9149 0.4114 0.4159
0.3969 0.2081 0.5176
0.8774 0.7081 0.0176
0.3934 0.7500 0.2500
0.6031 0.7919 0.4824
0.6903 0.5332 0.8591
0.3097 0.4668 0.1409
0.6066 0.2500 0.7500
0.9174 0.0332 0.3591
0.0851 0.5886 0.5841
0.6866 0.4009 0.2199
0.3134 0.5991 0.7801
0.6925 0.9009 0.7199
0.3075 0.0991 0.2801
0.0074 0.7500 0.2500
0.9926 0.2500 0.7500

***

Question: The lowest electronic total energy belongs to which entry?
Answer: number 11

***

Repeat the first record exactly.
KHg4Au4 PBE optimized geometry; SG = No. 86; DOS(E_F) = 5.364 states/eV per cell; electronic total energy = -1.77 eV/atom
1.0
5.6623 0.0000 0.0000
0.0000 9.4298 0.0000
0.0000 0.0000 9.4298
Au Hg K
8 8 2
Direct
0.5883 0.8284 0.3251
0.0883 0.1749 0.3284
0.4117 0.3251 0.1716
0.9117 0.6716 0.1749
0.4117 0.6749 0.8284
0.9117 0.3284 0.8251
0.0883 0.8251 0.6716
0.5883 0.1716 0.6749
0.0982 0.1294 0.6274
0.9018 0.3726 0.1294
0.4018 0.3706 0.8726
0.5982 0.8726 0.6294
0.0982 0.8706 0.3726
0.9018 0.6274 0.8706
0.4018 0.6294 0.1274
0.5982 0.1274 0.3706
0.0000 0.0000 0.0000
0.5000 0.5000 0.5000